No. 1
Below is La8Ga3PI4 after structural relaxation, with properties calculated at the GGA-PBE level.

Calculated values
Magnetic moment ... 0.00 μB per cell
Symmetry ... No. 166
E_tot ... -4.736 eV/atom

Lattice parameters (Å, degrees): 9.262 9.262 9.262 57.58 57.58 57.58
Fractional positions:
La  0.238  0.238  0.238
La  0.241  0.733  0.733
La  0.267  0.267  0.759
La  0.267  0.759  0.267
La  0.733  0.241  0.733
La  0.733  0.733  0.241
La  0.759  0.267  0.267
La  0.762  0.762  0.762
Ga  0.000  0.000  0.500
Ga  0.000  0.500  0.000
Ga  0.500  0.000  0.000
P  0.500  0.500  0.500
I  0.000  0.000  0.000
I  0.000  0.500  0.500
I  0.500  0.000  0.500
I  0.500  0.500  0.000

***

No. 2
Below is La6GaP2I3 after structural relaxation, with properties calculated at the GGA-PBE level.

Calculated values
Magnetic moment ... 0.00 μB per cell
Symmetry ... No. 12
E_tot ... -5.257 eV/atom

Lattice parameters (Å, degrees): 7.535 7.535 8.257 98.73 98.73 119.98
Fractional positions:
La  0.092  0.434  0.801
La  0.224  0.224  0.197
La  0.434  0.092  0.801
La  0.566  0.908  0.199
La  0.776  0.776  0.803
La  0.908  0.566  0.199
Ga  0.500  0.500  0.000
P  0.167  0.833  0.000
P  0.833  0.167  0.000
I  0.000  0.000  0.500
I  0.336  0.664  0.500
I  0.664  0.336  0.500

***

No. 3
Below is La8Ga3PbI4 after structural relaxation, with properties calculated at the GGA-PBE level.

Calculated values
Magnetic moment ... 0.00 μB per cell
Symmetry ... No. 166
E_tot ... -4.487 eV/atom

Lattice parameters (Å, degrees): 9.220 9.220 9.220 59.84 59.84 59.84
Fractional positions:
La  0.228  0.745  0.745
La  0.237  0.237  0.237
La  0.255  0.255  0.772
La  0.255  0.772  0.255
La  0.745  0.228  0.745
La  0.745  0.745  0.228
La  0.763  0.763  0.763
La  0.772  0.255  0.255
Ga  0.000  0.000  0.500
Ga  0.000  0.500  0.000
Ga  0.500  0.000  0.000
Pb  0.500  0.500  0.500
I  0.000  0.000  0.000
I  0.000  0.500  0.500
I  0.500  0.000  0.500
I  0.500  0.500  0.000

***

No. 4
Below is La8Ga3PdI4 after structural relaxation, with properties calculated at the GGA-PBE level.

Calculated values
Magnetic moment ... 0.00 μB per cell
Symmetry ... No. 12
E_tot ... -4.581 eV/atom

Lattice parameters (Å, degrees): 8.983 8.983 9.257 119.07 119.07 59.91
Fractional positions:
La  0.234  0.739  0.707
La  0.235  0.235  0.709
La  0.261  0.261  0.282
La  0.261  0.766  0.293
La  0.739  0.234  0.707
La  0.739  0.739  0.718
La  0.765  0.765  0.291
La  0.766  0.261  0.293
Ga  0.000  0.500  0.500
Ga  0.500  0.000  0.500
Ga  0.500  0.500  0.500
Pd  0.000  0.000  0.500
I  0.000  0.000  0.000
I  0.000  0.500  0.000
I  0.500  0.000  0.000
I  0.500  0.500  0.000

***

No. 5
Below is LaGaPdI2 after structural relaxation, with properties calculated at the GGA-PBE level.

Calculated values
Magnetic moment ... 0.00 μB per cell
Symmetry ... No. 123
E_tot ... -3.087 eV/atom

Lattice parameters (Å, degrees): 6.190 6.190 6.252 90.00 90.00 90.00
Fractional positions:
La  0.000  0.000  0.000
Ga  0.000  0.000  0.500
Pd  0.500  0.500  0.500
I  0.000  0.500  0.000
I  0.500  0.000  0.000

***

No. 6
Below is La8GaPd3I4 after structural relaxation, with properties calculated at the GGA-PBE level.

Calculated values
Magnetic moment ... 0.00 μB per cell
Symmetry ... No. 12
E_tot ... -4.903 eV/atom

Lattice parameters (Å, degrees): 8.759 8.759 9.462 117.60 117.60 59.92
Fractional positions:
La  0.229  0.737  0.702
La  0.233  0.233  0.699
La  0.263  0.263  0.298
La  0.263  0.771  0.298
La  0.737  0.229  0.702
La  0.737  0.737  0.702
La  0.767  0.767  0.301
La  0.771  0.263  0.298
Ga  0.500  0.500  0.500
Pd  0.000  0.000  0.500
Pd  0.000  0.500  0.500
Pd  0.500  0.000  0.500
I  0.000  0.000  0.000
I  0.000  0.500  0.000
I  0.500  0.000  0.000
I  0.500  0.500  0.000

***

No. 7
Below is LaPmGaI after structural relaxation, with properties calculated at the GGA-PBE level.

Calculated values
Magnetic moment ... 0.00 μB per cell
Symmetry ... No. 8
E_tot ... -4.322 eV/atom

Lattice parameters (Å, degrees): 4.028 4.028 8.444 99.23 99.23 69.89
Fractional positions:
La  0.000  0.000  0.000
Pm  0.854  0.854  0.427
Ga  0.429  0.429  0.217
I  0.566  0.566  0.707

***

No. 8
Below is La8Ga3RhI4 after structural relaxation, with properties calculated at the GGA-PBE level.

Calculated values
Magnetic moment ... 0.00 μB per cell
Symmetry ... No. 12
E_tot ... -4.731 eV/atom

Lattice parameters (Å, degrees): 8.959 8.959 9.427 119.15 119.15 58.81
Fractional positions:
La  0.223  0.750  0.695
La  0.235  0.235  0.709
La  0.250  0.777  0.305
La  0.261  0.261  0.281
La  0.739  0.739  0.719
La  0.750  0.223  0.695
La  0.765  0.765  0.291
La  0.777  0.250  0.305
Ga  0.000  0.500  0.500
Ga  0.500  0.000  0.500
Ga  0.500  0.500  0.500
Rh  0.000  0.000  0.500
I  0.000  0.000  0.000
I  0.000  0.500  0.000
I  0.500  0.000  0.000
I  0.500  0.500  0.000

***

No. 9
Below is La6GaRh2I3 after structural relaxation, with properties calculated at the GGA-PBE level.

Calculated values
Magnetic moment ... 0.00 μB per cell
Symmetry ... No. 12
E_tot ... -5.267 eV/atom

Lattice parameters (Å, degrees): 7.505 7.505 8.547 98.46 98.46 119.98
Fractional positions:
La  0.086  0.437  0.808
La  0.213  0.213  0.191
La  0.437  0.086  0.808
La  0.563  0.914  0.192
La  0.787  0.787  0.809
La  0.914  0.563  0.192
Ga  0.500  0.500  0.000
Rh  0.167  0.833  0.000
Rh  0.833  0.167  0.000
I  0.000  0.000  0.500
I  0.338  0.662  0.500
I  0.662  0.338  0.500

***

No. 10
Below is LaGaRhI2 after structural relaxation, with properties calculated at the GGA-PBE level.

Calculated values
Magnetic moment ... 0.00 μB per cell
Symmetry ... No. 123
E_tot ... -3.724 eV/atom

Lattice parameters (Å, degrees): 5.580 5.580 4.709 90.00 90.00 90.00
Fractional positions:
La  0.000  0.000  0.000
Ga  0.500  0.500  0.500
Rh  0.500  0.500  0.000
I  0.000  0.500  0.500
I  0.500  0.000  0.500

***

No. 11
Below is La8GaRu3I4 after structural relaxation, with properties calculated at the GGA-PBE level.

Calculated values
Magnetic moment ... 0.00 μB per cell
Symmetry ... No. 166
E_tot ... -5.589 eV/atom

Lattice parameters (Å, degrees): 9.595 9.595 9.595 53.20 53.20 53.20
Fractional positions:
La  0.209  0.737  0.737
La  0.231  0.231  0.231
La  0.263  0.263  0.791
La  0.263  0.791  0.263
La  0.737  0.209  0.737
La  0.737  0.737  0.209
La  0.769  0.769  0.769
La  0.791  0.263  0.263
Ga  0.500  0.500  0.500
Ru  0.000  0.000  0.500
Ru  0.000  0.500  0.000
Ru  0.500  0.000  0.000
I  0.000  0.000  0.000
I  0.000  0.500  0.500
I  0.500  0.000  0.500
I  0.500  0.500  0.000

***

No. 12
Below is La6GaRu2I3 after structural relaxation, with properties calculated at the GGA-PBE level.

Calculated values
Magnetic moment ... 0.00 μB per cell
Symmetry ... No. 12
E_tot ... -5.465 eV/atom

Lattice parameters (Å, degrees): 7.469 7.469 8.584 98.40 98.40 120.00
Fractional positions:
La  0.081  0.438  0.811
La  0.207  0.207  0.188
La  0.438  0.081  0.811
La  0.562  0.919  0.189
La  0.793  0.793  0.812
La  0.919  0.562  0.189
Ga  0.500  0.500  0.000
Ru  0.167  0.833  0.000
Ru  0.833  0.167  0.000
I  0.000  0.000  0.500
I  0.337  0.663  0.500
I  0.663  0.337  0.500